First-principles (meta-GGA SCAN) data for a PBEsol-optimized structure of Dy2B6Os, as listed in Alexandria.

Cell lengths 9.1003, 11.4604, 3.6186 Å; angles 90.00, 90.00, 90.00 degrees
Space group Pbam (No. 55)
Symmetry-distinct sites (fractional):
Dy 0.0564 0.1272 0.0000 (multiplicity 4)
Dy 0.1779 0.4138 0.0000 (multiplicity 4)
B 0.0170 0.2872 0.5000 (multiplicity 4)
B 0.0535 0.5669 0.5000 (multiplicity 4)
B 0.1081 0.9700 0.5000 (multiplicity 4)
B 0.1314 0.8145 0.5000 (multiplicity 4)
B 0.2093 0.2333 0.5000 (multiplicity 4)
B 0.2478 0.5799 0.5000 (multiplicity 4)
Os 0.1373 0.6785 0.0000 (multiplicity 4)

## Properties
Crystal system: orthorhombic
ΔH_f (0 K) in eV per atom: -0.741